[1]
First-principles (PBE) data for a relaxed Sm7ErSc4 crystal, as listed in Alexandria via LeMat-Bulk. Values from VASP.

Cell and atoms, written as Quantum ESPRESSO input:
```
&SYSTEM
  ibrav = 0, nat = 12, ntyp = 3
/
ATOMIC_SPECIES
Sm 150.36 Sm.upf
Er 167.26 Er.upf
Sc 44.96 Sc.upf
CELL_PARAMETERS angstrom
-5.2422 2.3696 0.9341
-6.0092 -3.8411 -5.7975
-5.1349 -5.5513 3.4479
ATOMIC_POSITIONS crystal
Sm 0.7914 0.8846 0.5325
Sm 0.2086 0.1154 0.4675
Sm 0.0891 0.5516 0.2703
Sm 0.9109 0.4484 0.7297
Sm 0.2380 0.7262 0.7978
Sm 0.5000 0.0000 0.0000
Sm 0.7620 0.2738 0.2022
Er 0.0000 0.0000 0.0000
Sc 0.5559 0.3005 0.5877
Sc 0.4441 0.6995 0.4123
Sc 0.6648 0.6509 0.0194
Sc 0.3352 0.3491 0.9806
```

Computed properties:
- uncorrected energy (eV/atom) = -5.006
- space group = No. 12
- total magnetic moment (μB per cell) = 0.21
- N(E_F) (states/eV/cell) = 20.51
- formation energy from the elements (meV/atom) = 238

[2]
First-principles (PBE) data for a relaxed ScCr2In crystal, as listed in Alexandria via LeMat-Bulk. Values from VASP.

Cell and atoms, written as Quantum ESPRESSO input:
```
&SYSTEM
  ibrav = 0, nat = 4, ntyp = 3
/
ATOMIC_SPECIES
Cr 52.00 Cr.upf
In 114.82 In.upf
Sc 44.96 Sc.upf
CELL_PARAMETERS angstrom
3.2857 0.0000 0.0000
0.0000 3.2849 0.0000
0.0000 0.0000 6.6269
ATOMIC_POSITIONS crystal
Cr 0.0000 0.0000 0.0004
Cr 0.0000 0.0000 0.4996
In 0.5000 0.5000 0.2500
Sc 0.5000 0.5000 0.7500
```

Computed properties:
- uncorrected energy (eV/atom) = -6.761
- space group = No. 123
- total magnetic moment (μB per cell) = 5.63
- N(E_F) (states/eV/cell) = 3.19
- formation energy from the elements (meV/atom) = 319

[3]
First-principles (PBE) data for a relaxed Pu2SeI crystal, as listed in Alexandria via LeMat-Bulk. Values from VASP.

Cell and atoms, written as Quantum ESPRESSO input:
```
&SYSTEM
  ibrav = 0, nat = 4, ntyp = 3
/
ATOMIC_SPECIES
Pu 244.00 Pu.upf
Se 78.96 Se.upf
I 126.90 I.upf
CELL_PARAMETERS angstrom
-1.3670 -3.5092 1.5488
0.4164 -3.4568 -2.1117
6.7352 -3.5606 3.2304
ATOMIC_POSITIONS crystal
Pu 0.0721 0.0721 0.7836
Pu 0.2615 0.2615 0.2155
Se 0.6676 0.6676 0.9971
I 0.4987 0.4987 0.5039
```

Computed properties:
- uncorrected energy (eV/atom) = -9.452
- space group = No. 160
- total magnetic moment (μB per cell) = 12.54
- N(E_F) (states/eV/cell) = 17.55
- formation energy (no corrections) (kJ per mole of atoms) = -99.2

[4]
First-principles (PBE) data for a relaxed ZnFeOs2 crystal, as listed in Alexandria via LeMat-Bulk. Values from VASP.

Cell and atoms, written as Quantum ESPRESSO input:
```
&SYSTEM
  ibrav = 0, nat = 4, ntyp = 3
/
ATOMIC_SPECIES
Fe 55.84 Fe.upf
Os 190.23 Os.upf
Zn 65.41 Zn.upf
CELL_PARAMETERS angstrom
-1.8879 -2.9902 1.4698
2.3456 -1.3732 0.2191
3.0397 0.5643 5.0525
ATOMIC_POSITIONS crystal
Fe 0.5000 0.7607 0.7393
Os 0.0000 0.9909 0.0100
Os 0.5000 0.2622 0.2372
Zn 0.0000 0.4862 0.5135
```

Computed properties:
- uncorrected energy (eV/atom) = -7.878
- space group = No. 6
- total magnetic moment (μB per cell) = 2.49
- N(E_F) (states/eV/cell) = 3.49
- formation energy from the elements (meV/atom) = 171

[5]
First-principles (PBE) data for a relaxed KFePt2 crystal, as listed in Alexandria via LeMat-Bulk. Values from VASP.

Cell and atoms, written as Quantum ESPRESSO input:
```
&SYSTEM
  ibrav = 0, nat = 8, ntyp = 3
/
ATOMIC_SPECIES
K 39.10 K.upf
Fe 55.84 Fe.upf
Pt 195.08 Pt.upf
CELL_PARAMETERS angstrom
-3.0132 -1.9014 6.6334
3.5803 -6.6185 -0.2708
3.0221 -2.8460 4.8306
ATOMIC_POSITIONS crystal
K 0.5000 0.5000 0.0000
K 0.2500 0.7500 0.5000
Fe 0.0000 0.0000 0.0000
Fe 0.7500 0.2500 0.5000
Pt 0.7493 0.1250 0.2500
Pt 0.0007 0.6250 0.2500
Pt 0.3750 0.2507 0.7500
Pt 0.8750 0.9993 0.7500
```

Computed properties:
- uncorrected energy (eV/atom) = -4.733
- space group = No. 122
- total magnetic moment (μB per cell) = 0.00
- N(E_F) (states/eV/cell) = 24.06
- formation energy from the elements (meV/atom) = 678

[6]
First-principles (PBE) data for a relaxed AlZnCl2 crystal, as listed in Alexandria via LeMat-Bulk. Values from VASP.

Cell and atoms, written as Quantum ESPRESSO input:
```
&SYSTEM
  ibrav = 0, nat = 4, ntyp = 3
/
ATOMIC_SPECIES
Zn 65.41 Zn.upf
Al 26.98 Al.upf
Cl 35.45 Cl.upf
CELL_PARAMETERS angstrom
-2.1365 -4.9215 6.9016
1.1118 -3.9390 7.7244
-1.5784 -1.8189 8.4034
ATOMIC_POSITIONS crystal
Zn 0.4945 0.4945 0.4945
Al 0.7574 0.7574 0.7574
Cl 0.0293 0.0293 0.0293
Cl 0.2188 0.2188 0.2188
```

Computed properties:
- uncorrected energy (eV/atom) = -2.867
- space group = No. 160
- total magnetic moment (μB per cell) = 0.00
- N(E_F) (states/eV/cell) = 0.55
- formation energy (no corrections) (kJ per mole of atoms) = -66.6

[7]
First-principles (PBE) data for a relaxed NaNb3As crystal, as listed in Alexandria via LeMat-Bulk. Values from VASP.

Cell and atoms, written as Quantum ESPRESSO input:
```
&SYSTEM
  ibrav = 0, nat = 5, ntyp = 3
/
ATOMIC_SPECIES
Na 22.99 Na.upf
Nb 92.91 Nb.upf
As 74.92 As.upf
CELL_PARAMETERS angstrom
-3.3525 2.6745 -1.8706
-2.0929 -3.8194 -1.7100
-2.5045 -0.3885 3.9330
ATOMIC_POSITIONS crystal
Na 0.0000 0.0000 0.0000
Nb 0.0000 0.5000 0.0000
Nb 0.0000 0.0000 0.5000
Nb 0.5000 0.0000 0.0000
As 0.5000 0.5000 0.5000
```

Computed properties:
- uncorrected energy (eV/atom) = -5.248
- space group = No. 221
- total magnetic moment (μB per cell) = 0.00
- N(E_F) (states/eV/cell) = 7.26
- formation energy from the elements (meV/atom) = 1988

[8]
First-principles (PBE) data for a relaxed SmTm2Mg2 crystal, as listed in Alexandria via LeMat-Bulk. Values from VASP.

Cell and atoms, written as Quantum ESPRESSO input:
```
&SYSTEM
  ibrav = 0, nat = 10, ntyp = 3
/
ATOMIC_SPECIES
Sm 150.36 Sm.upf
Tm 168.93 Tm.upf
Mg 24.30 Mg.upf
CELL_PARAMETERS angstrom
-2.3481 -2.7783 0.6896
4.0057 -2.7901 2.3989
-2.1026 7.1926 11.8763
ATOMIC_POSITIONS crystal
Sm 0.8483 0.7500 0.6967
Sm 0.1517 0.2500 0.3033
Tm 0.0441 0.7500 0.0880
Tm 0.9559 0.2500 0.9120
Tm 0.2373 0.7500 0.4751
Tm 0.7627 0.2500 0.5249
Mg 0.6393 0.7500 0.2798
Mg 0.3607 0.2500 0.7202
Mg 0.4472 0.7500 0.8959
Mg 0.5528 0.2500 0.1041
```

Computed properties:
- uncorrected energy (eV/atom) = -3.428
- space group = No. 63
- total magnetic moment (μB per cell) = 0.00
- N(E_F) (states/eV/cell) = 11.79
- formation energy from the elements (meV/atom) = -58